{
  "formula": "MgTiMn3",
  "functional": "GGA-PBE",
  "state": "relaxed",
  "polymorph_energy_ev_per_fu": 2.34,
  "spacegroup": "Pm-3m, No. 221",
  "delta_e_f_ev_per_atom": 1.350,
  "cell": [[-0.231, 1.042, -4.439], [3.603, -2.682, -0.817], [-2.794, -3.545, -0.686]],
  "species": ["Mn", "Mg", "Mn", "Mn", "Ti"],
  "fractional_positions": [[0.000, 0.000, 0.500], [0.000, 0.000, 0.000], [0.000, 0.500, 0.000], [0.500, 0.000, 0.000], [0.500, 0.500, 0.500]]
}



{
  "formula": "Ac4SmY",
  "functional": "GGA-PBE",
  "state": "relaxed",
  "polymorph_energy_ev_per_fu": 1.24,
  "spacegroup": "F-43m, No. 216",
  "delta_e_f_ev_per_atom": 0.353,
  "cell": [[-0.282, 6.036, -3.830], [-0.971, -0.299, -7.082], [-6.202, 2.139, -2.854]],
  "species": ["Ac", "Y", "Ac", "Ac", "Sm", "Ac"],
  "fractional_positions": [[0.625, 0.124, 0.625], [0.000, 0.000, 0.000], [0.625, 0.625, 0.625], [0.124, 0.625, 0.625], [0.250, 0.250, 0.250], [0.625, 0.625, 0.124]]
}



{
  "formula": "Be3Pb5",
  "functional": "GGA-PBE",
  "state": "relaxed",
  "polymorph_energy_ev_per_fu": 0.22,
  "spacegroup": "P6_3/mcm, No. 193",
  "delta_e_f_ev_per_atom": 0.571,
  "cell": [[8.173, 0.000, 0.000], [-4.087, 7.078, 0.000], [0.000, 0.000, 6.579]],
  "species": ["Pb", "Be", "Pb", "Pb", "Pb", "Pb", "Be", "Pb", "Pb", "Be", "Be", "Be", "Pb", "Be", "Pb", "Pb"],
  "fractional_positions": [[0.667, 0.333, 0.500], [0.398, 0.000, 0.750], [0.000, 0.252, 0.250], [0.748, 0.748, 0.250], [0.252, 0.000, 0.250], [0.333, 0.667, 0.500], [0.000, 0.398, 0.750], [0.000, 0.748, 0.750], [0.748, 0.000, 0.750], [0.602, 0.000, 0.250], [0.602, 0.602, 0.750], [0.398, 0.398, 0.250], [0.333, 0.667, 0.000], [0.000, 0.602, 0.250], [0.667, 0.333, 0.000], [0.252, 0.252, 0.750]]
}



{
  "formula": "SrLi2Mg2Tl2",
  "functional": "GGA-PBE",
  "state": "relaxed",
  "spacegroup": "C2/m, No. 12",
  "delta_e_f_ev_per_atom": -0.228,
  "cell": [[-1.115, -4.213, 2.076], [4.410, 0.685, -1.854], [0.260, 4.068, 8.394]],
  "species": ["Tl", "Mg", "Li", "Li", "Tl", "Mg", "Sr"],
  "fractional_positions": [[0.253, 0.505, 0.758], [0.861, 0.723, 0.584], [0.438, 0.876, 0.314], [0.562, 0.124, 0.686], [0.747, 0.495, 0.242], [0.139, 0.277, 0.416], [0.000, 0.000, 0.000]]
}